Crystalline HPdO3 at its relaxed geometry, computed with GGA-PBE.

a = 3.8768 Å, b = 3.8768 Å, c = 3.8768 Å
α = 90.00°, β = 90.00°, γ = 90.00°
Last column: nearest neighbours and their distance in Å.
Space group Pm-3m (No. 221)
One atom of each set of equivalent atoms:
H  0.0000  0.0000  0.0000 x1  12 O 2.74
Pd  0.5000  0.5000  0.5000 x1  6 O 1.94
O  0.0000  0.5000  0.5000 x3  2 Pd 1.94

Calculated values
DFT total energy ... -3.752 eV per atom
Fermi-level density of states ... 5.09 states/eV per cell
Magnetic moment ... 2.30 μB per formula unit